No. 1
A plane-wave DFT calculation with GGA-PBE was carried out for a relaxed NaGa2Au3 crystal.

## Properties
E_tot (eV/atom): -3.10
Energy above the lowest structure with this stoichiometry (eV/atom): 0.049
Spin magnetization (μB/atom): 0.00
DFT formation energy (eV/atom): -0.23
SG: C2/m

a b c (Å): 4.2509 8.4233 8.1411
angles (deg): 115.42 90.00 104.62
Fractional positions:
Au 0.9779 0.9558 0.6551
Ga 0.5124 0.0248 0.1600
Au 0.6764 0.3529 0.4207
Ga 0.4876 0.9752 0.8400
Au 0.6144 0.2289 0.7221
Au 0.3856 0.7711 0.2779
Au 0.3236 0.6471 0.5793
Ga 0.1871 0.3741 0.6607
Na 0.1587 0.3173 0.0762
Au 0.0221 0.0442 0.3449
Na 0.8413 0.6827 0.9238
Ga 0.8129 0.6259 0.3393



No. 2
A plane-wave DFT calculation with GGA-PBE was carried out for a relaxed La4In3Ge crystal.

## Properties
E_tot (eV/atom): -4.63
Spin magnetization (μB/atom): 0.15
DFT formation energy (eV/atom): -0.56
SG: Pmm2

a b c (Å): 4.7663 4.4342 11.9642
angles (deg): 90.00 90.00 90.00
Fractional positions:
La 0.5000 0.0000 0.6411
Ge 0.5000 0.5000 0.0801
La 0.5000 0.5000 0.3509
In 0.0000 0.5000 0.5791
La 0.0000 0.5000 0.8664
In 0.0000 0.0000 0.4183
La 0.0000 0.0000 0.1357
In 0.5000 0.0000 0.9285



No. 3
A plane-wave DFT calculation with GGA-PBE was carried out for a relaxed YAsSe2Cl crystal.

## Properties
E_tot (eV/atom): -3.94
Energy above the lowest structure with this stoichiometry (eV/atom): 0.052
Spin magnetization (μB/atom): 0.00
SG: P4/mmm
Raw formation energy (eV per formula unit): 0.2

a b c (Å): 5.0880 5.0880 4.7074
angles (deg): 90.00 90.00 90.00
Fractional positions:
As 0.0000 0.0000 0.5000
Cl 0.0000 0.0000 0.0000
Y 0.5000 0.5000 0.5000
Se 0.5000 0.0000 0.0000
Se 0.0000 0.5000 0.0000



No. 4
A plane-wave DFT calculation with GGA-PBE was carried out for a relaxed PrTlIn4 crystal.

## Properties
E_tot (eV/atom): -3.17
Spin magnetization (μB/atom): 0.00
DFT formation energy (eV/atom): -0.15
SG: F-43m

a b c (Å): 6.1976 6.1976 6.1976
angles (deg): 60.00 60.00 60.00
Fractional positions:
In 0.6251 0.6251 0.6251
Pr 0.2500 0.2500 0.2500
In 0.6251 0.6251 0.1248
In 0.6251 0.1248 0.6251
Tl 0.0000 0.0000 0.0000
In 0.1248 0.6251 0.6251



No. 5
A plane-wave DFT calculation with GGA-PBE was carried out for a relaxed Mg2ZnAu3 crystal.

## Properties
E_tot (eV/atom): -2.87
Energy above the lowest structure with this stoichiometry (eV/atom): 0.000
Spin magnetization (μB/atom): 0.00
DFT formation energy (eV/atom): -0.48
SG: P4/mmm

a b c (Å): 3.3095 3.3095 9.5265
angles (deg): 90.00 90.00 90.00
Fractional positions:
Mg 0.5000 0.5000 0.8283
Mg 0.5000 0.5000 0.1717
Zn 0.5000 0.5000 0.5000
Au 0.0000 0.0000 0.3419
Au 0.0000 0.0000 0.0000
Au 0.0000 0.0000 0.6581



No. 6
A plane-wave DFT calculation with GGA-PBE was carried out for a relaxed LaNiBN crystal.

## Properties
E_tot (eV/atom): -7.38
Spin magnetization (μB/atom): 0.00
SG: P4/nmm
Raw formation energy (eV per formula unit): -3.8

a b c (Å): 3.7762 3.7762 7.3292
angles (deg): 90.00 90.00 90.00
Fractional positions:
Ni 0.0000 0.0000 0.5000
B 0.0000 0.5000 0.3629
La 0.0000 0.5000 0.8210
N 0.5000 0.0000 0.8345
N 0.0000 0.5000 0.1655
Ni 0.5000 0.5000 0.5000
La 0.5000 0.0000 0.1790
B 0.5000 0.0000 0.6371